Entry 1:
DFT (GGA-PBE) results for a relaxed CaAgRu crystal.

Lattice parameters (Å, degrees): 4.6140 4.6140 4.6140 60.00 60.00 60.00
Last column: nearest neighbours and their distance in Å.
Fractional positions:
Ca (0.0000, 0.0000, 0.0000)  4 Ru 2.83
Ag (0.5000, 0.5000, 0.5000)  4 Ru 2.83
Ru (0.2500, 0.2500, 0.2500)  4 Ca 2.83, 4 Ag 2.83

Summary:
**E above lowest polymorph**: 311.1 meV/atom
**Calculated volume**: 23.15 Å³ per atom
**Total moment**: 1.19 μB/cell
**Calculated formation energy**: 0.688 eV per atom

Entry 2:
DFT (GGA-PBE) results for a relaxed CaAg2Ru crystal.

Lattice parameters (Å, degrees): 9.9161 9.9161 9.9161 17.41 17.41 17.41
Last column: nearest neighbours and their distance in Å.
Fractional positions:
Ca (0.0000, 0.0000, 0.0000)  6 Ca 3.00, 6 Ag 3.13
Ag (0.2445, 0.2445, 0.2445)  3 Ru 2.86, 6 Ag 3.00, 3 Ca 3.13
Ag (0.7555, 0.7555, 0.7555)  3 Ru 2.86, 6 Ag 3.00, 3 Ca 3.13
Ru (0.5000, 0.5000, 0.5000)  6 Ag 2.86, 6 Ru 3.00

Summary:
**E above lowest polymorph**: 359.0 meV/atom
**Calculated volume**: 19.05 Å³ per atom
**Total moment**: 1.01 μB/cell
**Calculated formation energy**: 0.591 eV per atom

Entry 3:
DFT (GGA-PBE) results for a relaxed CaSmAgRu crystal.

Lattice parameters (Å, degrees): 5.0307 5.0307 5.0307 60.00 60.00 60.00
Last column: nearest neighbours and their distance in Å.
Fractional positions:
Ca (0.0000, 0.0000, 0.0000)  4 Ag 3.08, 4 Ru 3.08
Sm (0.5000, 0.5000, 0.5000)  4 Ag 3.08, 4 Ru 3.08
Ag (0.7500, 0.7500, 0.7500)  4 Ca 3.08, 4 Sm 3.08
Ru (0.2500, 0.2500, 0.2500)  4 Ca 3.08, 4 Sm 3.08

Summary:
**Calculated volume**: 22.51 Å³ per atom
**Total moment**: 0.00 μB/cell
**Calculated formation energy**: -0.102 eV per atom

Entry 4:
DFT (GGA-PBE) results for a relaxed CaTbAgRu crystal.

Lattice parameters (Å, degrees): 4.9825 4.9825 4.9825 60.00 60.00 60.00
Last column: nearest neighbours and their distance in Å.
Fractional positions:
Ca (0.0000, 0.0000, 0.0000)  4 Ag 3.05, 4 Ru 3.05
Tb (0.5000, 0.5000, 0.5000)  4 Ag 3.05, 4 Ru 3.05
Ag (0.7500, 0.7500, 0.7500)  4 Tb 3.05, 4 Ca 3.05
Ru (0.2500, 0.2500, 0.2500)  4 Tb 3.05, 4 Ca 3.05

Summary:
**Calculated volume**: 21.87 Å³ per atom
**Total moment**: 0.00 μB/cell
**Calculated formation energy**: -0.136 eV per atom

Entry 5:
DFT (GGA-PBE) results for a relaxed Ca2ZnAgRu crystal.

Lattice parameters (Å, degrees): 5.4273 5.4273 4.6955 90.00 90.00 90.00
Last column: nearest neighbours and their distance in Å.
Fractional positions:
Ca (0.0000, 0.5000, 0.0000)  2 Zn 2.71
Ca (0.5000, 0.0000, 0.0000)  2 Zn 2.71
Zn (0.0000, 0.0000, 0.0000)  2 Ag 2.35
Ag (0.0000, 0.0000, 0.5000)  2 Zn 2.35
Ru (0.5000, 0.5000, 0.5000)  8 Ca 3.59, 4 Ag 3.84

Summary:
**Calculated volume**: 27.66 Å³ per atom
**Total moment**: 1.63 μB/cell
**Calculated formation energy**: 0.742 eV per atom

Entry 6:
DFT (GGA-PBE) results for a relaxed Ca2AgS2 crystal.

Lattice parameters (Å, degrees): 7.9341 7.9341 3.5666 90.00 90.00 90.00
Last column: nearest neighbours and their distance in Å.
Fractional positions:
Ca (0.1482, 0.3518, 0.0000)  6 S 2.83-3.00, 2 Ag 3.03
Ca (0.3518, 0.8518, 0.0000)  6 S 2.83-3.00, 2 Ag 3.03
Ca (0.6482, 0.1482, 0.0000)  6 S 2.83-3.00, 2 Ag 3.03
Ca (0.8518, 0.6482, 0.0000)  6 S 2.83-3.00, 2 Ag 3.03
Ag (0.0000, 0.0000, 0.0000)  4 Ca 3.03
Ag (0.5000, 0.5000, 0.0000)  4 Ca 3.03
S (0.1556, 0.6556, 0.5000)  6 Ca 2.83-3.00
S (0.3444, 0.1556, 0.5000)  6 Ca 2.83-3.00
S (0.6556, 0.8444, 0.5000)  6 Ca 2.83-3.00
S (0.8444, 0.3444, 0.5000)  6 Ca 2.83-3.00

Summary:
**E above lowest polymorph**: 173.8 meV/atom
**Calculated volume**: 22.45 Å³ per atom
**Total moment**: 0.00 μB/cell
**Formation energy (no corrections)**: -1127 meV/atom

- The highest total moment belongs to which entry?
  Ca2ZnAgRu

- calculated volume of number 1 (CaAgRu)?
  23.15 Å³ per atom